(1)
# Pr2SmSi4Au4 (GGA-PBE, optimized geometry)
# DFT total energy	-5.20	eV per atom
# crystal system	orthorhombic
# total magnetic moment	0.000	μB/atom
# space group	Immm (71)
data_Pr2SmSi4Au4
_chemical_formula_sum 'Pr2 Sm1 Si4 Au4'
_space_group_name_H-M_alt 'P 1'
_space_group_IT_number 1
_cell_length_a 12.9808
_cell_length_b 12.9808
_cell_length_c 12.9808
_cell_angle_alpha 161.08
_cell_angle_beta 160.95
_cell_angle_gamma 26.98
loop_
_space_group_symop_operation_xyz
'x,y,z'
loop_
_atom_site_label
_atom_site_type_symbol
_atom_site_fract_x
_atom_site_fract_y
_atom_site_fract_z
Au1 Au 0.2504 0.2504 0.0000
Au2 Au 0.7496 0.7496 0.0000
Au3 Au 0.9063 0.4063 0.5000
Au4 Au 0.0937 0.5937 0.5000
Pr1 Pr 0.6480 0.1480 0.5000
Pr2 Pr 0.3520 0.8520 0.5000
Si1 Si 0.4533 0.4533 0.0000
Si2 Si 0.5467 0.5467 0.0000
Si3 Si 0.8088 0.3088 0.5000
Si4 Si 0.1912 0.6912 0.5000
Sm1 Sm 0.0000 0.0000 0.0000

(2)
# SrMgNiSn (GGA-PBE, optimized geometry)
# DFT total energy	-3.30	eV per atom
# crystal system	cubic
# total magnetic moment	0.000	μB/atom
# distance to the lowest polymorph of the same formula	0.000	eV/atom
# space group	F-43m (216)
data_SrMgNiSn
_chemical_formula_sum 'Sr1 Mg1 Ni1 Sn1'
_space_group_name_H-M_alt 'P 1'
_space_group_IT_number 1
_cell_length_a 4.9475
_cell_length_b 4.9475
_cell_length_c 4.9475
_cell_angle_alpha 60.00
_cell_angle_beta 60.00
_cell_angle_gamma 60.00
loop_
_space_group_symop_operation_xyz
'x,y,z'
loop_
_atom_site_label
_atom_site_type_symbol
_atom_site_fract_x
_atom_site_fract_y
_atom_site_fract_z
Mg1 Mg 0.7500 0.7500 0.7500
Ni1 Ni 0.2500 0.2500 0.2500
Sn1 Sn 0.0000 0.0000 0.0000
Sr1 Sr 0.5000 0.5000 0.5000

(3)
# Fe2H3Se (GGA-PBE, optimized geometry)
# DFT total energy	-4.79	eV per atom
# crystal system	orthorhombic
# total magnetic moment	0.181	μB/atom
# space group	Amm2 (38)
data_Fe2H3Se
_chemical_formula_sum 'Fe2 H3 Se1'
_space_group_name_H-M_alt 'P 1'
_space_group_IT_number 1
_cell_length_a 3.0327
_cell_length_b 4.5315
_cell_length_c 4.5315
_cell_angle_alpha 48.06
_cell_angle_beta 90.00
_cell_angle_gamma 90.00
loop_
_space_group_symop_operation_xyz
'x,y,z'
loop_
_atom_site_label
_atom_site_type_symbol
_atom_site_fract_x
_atom_site_fract_y
_atom_site_fract_z
Fe1 Fe 0.0000 0.5208 0.5208
Fe2 Fe 0.5000 0.8335 0.8335
H1 H 0.5000 0.7437 0.2521
H2 H 0.5000 0.2521 0.7437
H3 H 0.0000 0.9279 0.9279
Se1 Se 0.0000 0.2320 0.2320

(4)
# ZrAlZnCo (GGA-PBE, optimized geometry)
# DFT total energy	-5.55	eV per atom
# crystal system	cubic
# total magnetic moment	0.001	μB/atom
# distance to the lowest polymorph of the same formula	0.000	eV/atom
# space group	F-43m (216)
data_ZrAlZnCo
_chemical_formula_sum 'Zr1 Al1 Zn1 Co1'
_space_group_name_H-M_alt 'P 1'
_space_group_IT_number 1
_cell_length_a 4.3964
_cell_length_b 4.3964
_cell_length_c 4.3964
_cell_angle_alpha 60.00
_cell_angle_beta 60.00
_cell_angle_gamma 60.00
loop_
_space_group_symop_operation_xyz
'x,y,z'
loop_
_atom_site_label
_atom_site_type_symbol
_atom_site_fract_x
_atom_site_fract_y
_atom_site_fract_z
Al1 Al 0.0000 0.0000 0.0000
Co1 Co 0.7500 0.7500 0.7500
Zn1 Zn 0.2500 0.2500 0.2500
Zr1 Zr 0.5000 0.5000 0.5000